BaMg2In after structural relaxation, computed with PBE.

The space group is P4mm (No. 99) and the conventional cell measures 3.8421, 3.8421 and 8.3193 Å, with angles of 90.00, 90.00 and 90.00 degrees. Symmetry generates all atoms from Ba at (0.0000, 0.0000, 0.0000), Mg at (0.0000, 0.0000, 0.4852), Mg at (0.5000, 0.5000, 0.6799) and In at (0.5000, 0.5000, 0.2961).

The formation energy comes out at -55.2 kJ/mol of formula units.


WSe2 after structural relaxation, computed with PBE.

The space group is P6/mmm (No. 191) and the conventional cell measures 4.6139, 4.6139 and 2.9317 Å, with angles of 90.00, 90.00 and 120.00 degrees. Symmetry generates all atoms from W at (0.0000, 0.0000, 0.0000) and Se at (0.3333, 0.6667, 0.5000).

The formation energy without anion corrections is 1186 meV per atom.


Nd5Tl3 after structural relaxation, computed with PBE.

The space group is Cmmm (No. 65) and the conventional cell measures 9.2988, 10.2737 and 5.1570 Å, with angles of 90.00, 90.00 and 90.00 degrees. Symmetry generates all atoms from Nd at (0.0000, 0.0000, 0.0000), Nd at (0.2292, 0.5000, 0.5000), Nd at (0.2500, 0.2500, 0.0000), Tl at (0.0000, 0.2277, 0.5000) and Tl at (0.0000, 0.5000, 0.0000).

The formation energy comes out at -200.4 kJ/mol of formula units.


GdZrF7 after structural relaxation, computed with PBE.

The space group is P2_1 (No. 4) and the conventional cell measures 6.1815, 5.9123 and 8.4202 Å, with angles of 90.00, 103.03 and 90.00 degrees. Symmetry generates all atoms from Gd at (0.1524, 0.0000, 0.1890), Zr at (0.3171, 0.0050, 0.7256), F at (0.0287, 0.7195, 0.0121), F at (0.0815, 0.7586, 0.7078), F at (0.0934, 0.2645, 0.7071), F at (0.2695, 0.0019, 0.4781), F at (0.3599, 0.0091, 0.9722), F at (0.4304, 0.2733, 0.2539) and F at (0.4408, 0.7451, 0.2620).

The formation energy without anion corrections is -3874 meV per atom.


Tb2Ga6Ni after structural relaxation, computed with PBE.

The space group is Fm-3m (No. 225) and the conventional cell measures 8.7093, 8.7093 and 8.7093 Å, with angles of 90.00, 90.00 and 90.00 degrees. Symmetry generates all atoms from Tb at (0.2500, 0.2500, 0.2500), Ga at (0.0000, 0.0000, 0.2229) and Ni at (0.0000, 0.0000, 0.5000).

The formation energy comes out at -496.3 kJ/mol of formula units.


Ac8CeRh6 after structural relaxation, computed with PBE.

The space group is R-3 (No. 148, hexagonal axes) and the conventional cell measures 7.4800, 7.4800 and 30.1899 Å, with angles of 90.00, 90.00 and 120.00 degrees. Symmetry generates all atoms from Ac at (0.0000, 0.0000, 0.1667), Ac at (0.9996, 0.3357, 0.6078), Ce at (0.0000, 0.0000, 0.5000) and Rh at (0.0002, 0.3188, 0.4436).

The formation energy comes out at -856.0 kJ/mol of formula units.


MnPHCS after structural relaxation, computed with PBE.

The space group is Cm (No. 8) and the conventional cell measures 8.2031, 2.6946 and 6.0540 Å, with angles of 90.00, 124.66 and 90.00 degrees. Symmetry generates all atoms from Mn at (0.0000, 0.0000, 0.0000), P at (0.2791, 0.0000, 0.9793), H at (0.0706, 0.5000, 0.4291), C at (0.1261, 0.5000, 0.3014) and S at (0.3902, 0.5000, 0.5506).

The value obtained for the total energy is -29.81 eV/f.u.


La2Ga4Ni3Ag after structural relaxation, computed with PBE.

The space group is P-4m2 (No. 115) and the conventional cell measures 4.2215, 4.2215 and 10.4470 Å, with angles of 90.00, 90.00 and 90.00 degrees. Symmetry generates all atoms from La at (0.0000, 0.5000, 0.2363), Ga at (0.0000, 0.0000, 0.0000), Ga at (0.0000, 0.5000, 0.6409), Ga at (0.5000, 0.5000, 0.0000), Ni at (0.0000, 0.5000, 0.8739), Ni at (0.5000, 0.5000, 0.5000) and Ag at (0.0000, 0.0000, 0.5000).

The formation energy comes out at -486.8 kJ/mol of formula units.


GdThMnOs after structural relaxation, computed with PBE.

The space group is F-43m (No. 216) and the conventional cell measures 7.0367, 7.0367 and 7.0367 Å, with angles of 90.00, 90.00 and 90.00 degrees. Symmetry generates all atoms from Gd at (0.0000, 0.0000, 0.0000), Th at (0.0000, 0.0000, 0.5000), Mn at (0.2500, 0.2500, 0.2500) and Os at (0.2500, 0.2500, 0.7500).

The formation energy comes out at 17.2 kJ/mol of formula units.


HfTiMnNb after structural relaxation, computed with PBE.

The space group is F-43m (No. 216) and the conventional cell measures 6.4222, 6.4222 and 6.4222 Å, with angles of 90.00, 90.00 and 90.00 degrees. Symmetry generates all atoms from Hf at (0.0000, 0.0000, 0.0000), Ti at (0.2500, 0.2500, 0.2500), Mn at (0.2500, 0.2500, 0.7500) and Nb at (0.0000, 0.0000, 0.5000).

The formation energy comes out at 21.2 kJ/mol of formula units.


HfTiFePt after structural relaxation, computed with PBE.

The space group is F-43m (No. 216) and the conventional cell measures 6.3558, 6.3558 and 6.3558 Å, with angles of 90.00, 90.00 and 90.00 degrees. Symmetry generates all atoms from Hf at (0.0000, 0.0000, 0.0000), Ti at (0.0000, 0.0000, 0.5000), Fe at (0.2500, 0.2500, 0.7500) and Pt at (0.2500, 0.2500, 0.2500).

The formation energy comes out at -222.8 kJ/mol of formula units.


Mg2In3Hg4 after structural relaxation, computed with PBE.

The space group is C2/m (No. 12) and the conventional cell measures 10.4787, 4.7212 and 9.0460 Å, with angles of 90.00, 91.08 and 90.00 degrees. Symmetry generates all atoms from Mg at (0.1885, 0.0000, 0.2753), In at (0.0000, 0.5000, 0.5000), In at (0.1546, 0.0000, 0.9335), Hg at (0.0326, 0.5000, 0.1685) and Hg at (0.1686, 0.0000, 0.6003).

The formation energy comes out at -42.0 kJ/mol of formula units.


TmAgHgGe after structural relaxation, computed with PBE.

The space group is F-43m (No. 216) and the conventional cell measures 6.9726, 6.9726 and 6.9726 Å, with angles of 90.00, 90.00 and 90.00 degrees. Symmetry generates all atoms from Tm at (0.0000, 0.0000, 0.0000), Ag at (0.0000, 0.0000, 0.5000), Hg at (0.2500, 0.2500, 0.2500) and Ge at (0.2500, 0.2500, 0.7500).

The formation energy comes out at -117.1 kJ/mol of formula units.


SrReSe2 after structural relaxation, computed with PBE.

The space group is I-42d (No. 122) and the conventional cell measures 5.9565, 5.9565 and 13.1591 Å, with angles of 90.00, 90.00 and 90.00 degrees. Symmetry generates all atoms from Sr at (0.0000, 0.0000, 0.0000), Re at (0.0000, 0.0000, 0.5000) and Se at (0.1620, 0.2500, 0.6250).

The formation energy without anion corrections is -304 meV per atom.


TaCu2Ir after structural relaxation, computed with PBE.

The space group is P2/m (No. 10) and the conventional cell measures 4.4943, 2.8871 and 4.6794 Å, with angles of 90.00, 106.68 and 90.00 degrees. Symmetry generates all atoms from Ta at (0.0000, 0.0000, 0.0000), Cu at (0.0000, 0.5000, 0.5000), Cu at (0.5000, 0.0000, 0.5000) and Ir at (0.5000, 0.5000, 0.0000).

The formation energy comes out at -11.0 kJ/mol of formula units.


Dy4Ag3Pd2 after structural relaxation, computed with PBE.

The space group is P-3m1 (No. 164) and the conventional cell measures 4.8938, 4.8938 and 9.7107 Å, with angles of 90.00, 90.00 and 120.00 degrees. Symmetry generates all atoms from Dy at (0.0000, 0.0000, 0.1684), Dy at (0.3333, 0.6667, 0.6154), Ag at (0.0000, 0.0000, 0.5000), Ag at (0.3333, 0.6667, 0.0056) and Pd at (0.3333, 0.6667, 0.3126).

The formation energy comes out at -449.2 kJ/mol of formula units.


La2Y2Mn after structural relaxation, computed with PBE.

The space group is P4/mbm (No. 127) and the conventional cell measures 7.3416, 7.3416 and 5.6314 Å, with angles of 90.00, 90.00 and 90.00 degrees. Symmetry generates all atoms from La at (0.1513, 0.3487, 0.0000), Y at (0.1677, 0.6677, 0.5000) and Mn at (0.0000, 0.0000, 0.0000).

The formation energy comes out at 163.4 kJ/mol of formula units.


Sr2SmO after structural relaxation, computed with PBE.

The space group is R-3m (No. 166, hexagonal axes) and the conventional cell measures 3.6714, 3.6714 and 30.8601 Å, with angles of 90.00, 90.00 and 120.00 degrees. Symmetry generates all atoms from Sr at (0.0000, 0.0000, 0.1178), Sm at (0.0000, 0.0000, 0.0000) and O at (0.0000, 0.0000, 0.5000).

The formation energy without anion corrections is -1079 meV per atom.


YPtN2F after structural relaxation, computed with PBE.

The space group is P4/mmm (No. 123) and the conventional cell measures 3.9886, 3.9886 and 4.2472 Å, with angles of 90.00, 90.00 and 90.00 degrees. Symmetry generates all atoms from Y at (0.0000, 0.0000, 0.0000), Pt at (0.5000, 0.5000, 0.5000), N at (0.0000, 0.5000, 0.5000) and F at (0.5000, 0.5000, 0.0000).

The formation energy without anion corrections is -179 meV per atom.


CaGePd6 after structural relaxation, computed with PBE.

The space group is R-3m (No. 166, hexagonal axes) and the conventional cell measures 6.6536, 6.6536 and 12.2105 Å, with angles of 90.00, 90.00 and 120.00 degrees. Symmetry generates all atoms from Ca at (0.0000, 0.0000, 0.0000), Ge at (0.0000, 0.0000, 0.5000) and Pd at (0.0661, 0.5330, 0.8962).

The formation energy comes out at -149.0 kJ/mol of formula units.